# 1
{"formula": "Pr6Tm5Sc2", "functional": "PBE-GGA", "state": "relaxed", "lattice": [[10.848, 0.000, 0.000], [0.000, 22.486, 0.000], [0.000, 0.000, 3.498]], "species": ["Pr", "Pr", "Pr", "Pr", "Pr", "Pr", "Pr", "Pr", "Pr", "Pr", "Pr", "Pr", "Tm", "Tm", "Tm", "Tm", "Tm", "Tm", "Tm", "Tm", "Tm", "Tm", "Sc", "Sc", "Sc", "Sc"], "fractional_positions": [[0.032, 0.113, 0.000], [0.138, 0.385, 0.000], [0.166, 0.639, 0.500], [0.334, 0.139, 0.500], [0.362, 0.885, 0.000], [0.468, 0.613, 0.000], [0.532, 0.387, 0.000], [0.638, 0.115, 0.000], [0.666, 0.861, 0.500], [0.834, 0.361, 0.500], [0.862, 0.615, 0.000], [0.968, 0.887, 0.000], [0.000, 0.500, 0.500], [0.085, 0.250, 0.500], [0.166, 0.992, 0.500], [0.334, 0.492, 0.500], [0.415, 0.750, 0.500], [0.500, 0.000, 0.500], [0.585, 0.250, 0.500], [0.666, 0.508, 0.500], [0.834, 0.008, 0.500], [0.915, 0.750, 0.500], [0.165, 0.774, 0.000], [0.335, 0.274, 0.000], [0.665, 0.726, 0.000], [0.835, 0.226, 0.000]], "sg": "Pbam (55)", "e_tot_ry_per_atom": -0.349, "formation_enthalpy_0k_kj_per_mol_atoms": 15.25, "magmom_total_mub_per_fu": 0.00}

***

# 2
{"formula": "Mn2Tl2Se", "functional": "PBE-GGA", "state": "relaxed", "lattice": [[6.776, 0.000, 0.000], [0.000, 6.776, 0.000], [0.000, 0.000, 4.740]], "species": ["Mn", "Mn", "Mn", "Mn", "Tl", "Tl", "Tl", "Tl", "Se", "Se"], "fractional_positions": [[0.150, 0.350, 0.000], [0.350, 0.850, 0.000], [0.650, 0.150, 0.000], [0.850, 0.650, 0.000], [0.164, 0.664, 0.500], [0.336, 0.164, 0.500], [0.664, 0.836, 0.500], [0.836, 0.336, 0.500], [0.000, 0.000, 0.000], [0.500, 0.500, 0.000]], "sg": "P4/mbm (127)", "relative_energy_ev_per_atom": 0.000, "e_tot_ry_per_atom": -0.379, "magmom_total_mub_per_fu": 7.76, "raw_formation_energy_mev_per_atom": 150}

***

# 3
{"formula": "FeRe2Au", "functional": "PBE-GGA", "state": "relaxed", "lattice": [[3.816, 0.000, 0.000], [0.000, 3.816, 0.000], [0.000, 0.000, 4.049]], "species": ["Fe", "Re", "Re", "Au"], "fractional_positions": [[0.000, 0.000, 0.000], [0.000, 0.500, 0.500], [0.500, 0.000, 0.500], [0.500, 0.500, 0.000]], "sg": "P4/mmm (123)", "relative_energy_ev_per_atom": 0.141, "e_tot_ry_per_atom": -0.647, "formation_enthalpy_0k_kj_per_mol_atoms": 34.73, "magmom_total_mub_per_fu": 2.29}

***

# 4
{"formula": "NaPa2TaO8", "functional": "PBE-GGA", "state": "relaxed", "lattice": [[4.938, 0.000, 0.000], [0.000, 7.092, 0.000], [-0.002, 0.000, 4.940]], "species": ["Na", "Pa", "Pa", "Ta", "O", "O", "O", "O", "O", "O", "O", "O"], "fractional_positions": [[0.000, 0.000, 0.000], [0.500, 0.247, 0.500], [0.500, 0.753, 0.500], [0.000, 0.500, 0.000], [0.197, 0.294, 0.805], [0.197, 0.706, 0.805], [0.293, 0.500, 0.294], [0.320, 0.000, 0.322], [0.680, 0.000, 0.678], [0.707, 0.500, 0.706], [0.803, 0.294, 0.195], [0.803, 0.706, 0.195]], "sg": "P2/m (10)", "e_tot_ry_per_atom": -0.671, "magmom_total_mub_per_fu": 0.00, "raw_formation_energy_mev_per_atom": -3142}

***

# 5
{"formula": "AgIrO3", "functional": "PBE-GGA", "state": "relaxed", "lattice": [[5.237, -1.939, 0.000], [5.237, 1.939, 0.000], [-1.172, 0.000, 6.266]], "species": ["Ag", "Ag", "Ir", "Ir", "O", "O", "O", "O", "O", "O"], "fractional_positions": [[0.118, 0.118, 0.424], [0.882, 0.882, 0.576], [0.368, 0.368, 0.087], [0.632, 0.632, 0.913], [0.173, 0.173, 0.950], [0.336, 0.336, 0.374], [0.441, 0.441, 0.813], [0.559, 0.559, 0.187], [0.664, 0.664, 0.626], [0.827, 0.827, 0.050]], "sg": "C2/m (12)", "e_tot_ry_per_atom": -0.420, "magmom_total_mub_per_fu": 0.00, "raw_formation_energy_mev_per_atom": -401}

***

# 6
{"formula": "LiGd2Pa", "functional": "PBE-GGA", "state": "relaxed", "lattice": [[3.419, 0.000, 0.000], [0.000, 3.419, 0.000], [0.000, 0.000, 9.252]], "species": ["Li", "Gd", "Gd", "Pa"], "fractional_positions": [[0.000, 0.000, 0.000], [0.500, 0.500, 0.250], [0.500, 0.500, 0.750], [0.000, 0.000, 0.500]], "sg": "P4/mmm (123)", "e_tot_ry_per_atom": -0.718, "formation_enthalpy_0k_kj_per_mol_atoms": 12.14, "magmom_total_mub_per_fu": 14.08}

***

# 7
{"formula": "TlOs2", "functional": "PBE-GGA", "state": "relaxed", "lattice": [[4.947, -1.398, 0.000], [4.947, 1.398, 0.000], [-2.270, 0.000, 8.163]], "species": ["Tl", "Tl", "Os", "Os", "Os", "Os"], "fractional_positions": [[0.158, 0.158, 0.125], [0.842, 0.842, 0.875], [0.137, 0.137, 0.506], [0.456, 0.456, 0.284], [0.544, 0.544, 0.716], [0.863, 0.863, 0.494]], "sg": "C2/m (12)", "relative_energy_ev_per_atom": 0.159, "e_tot_ry_per_atom": -0.555, "formation_enthalpy_0k_kj_per_mol_atoms": 70.44, "magmom_total_mub_per_fu": 0.00}

***

# 8
{"formula": "LiReRu2", "functional": "PBE-GGA", "state": "relaxed", "lattice": [[2.710, 0.000, 0.000], [0.000, 3.967, 0.000], [0.000, 0.000, 5.092]], "species": ["Li", "Re", "Ru", "Ru"], "fractional_positions": [[0.000, 0.000, 0.000], [0.500, 0.500, 0.260], [0.000, 0.000, 0.500], [0.500, 0.500, 0.791]], "sg": "Pmm2 (25)", "relative_energy_ev_per_atom": 0.174, "e_tot_ry_per_atom": -0.591, "formation_enthalpy_0k_kj_per_mol_atoms": 17.80, "magmom_total_mub_per_fu": 0.00}

***

# 9
{"formula": "CrHgMo2", "functional": "PBE-GGA", "state": "relaxed", "lattice": [[2.858, 0.000, 0.000], [0.000, 4.016, 0.000], [-0.747, 0.000, 5.665]], "species": ["Cr", "Hg", "Mo", "Mo"], "fractional_positions": [[0.000, 0.000, 0.000], [0.000, 0.000, 0.500], [0.411, 0.500, 0.206], [0.589, 0.500, 0.794]], "sg": "P2/m (10)", "e_tot_ry_per_atom": -0.548, "formation_enthalpy_0k_kj_per_mol_atoms": 41.96, "magmom_total_mub_per_fu": 0.00}

***

# 10
{"formula": "LiBSN2", "functional": "PBE-GGA", "state": "relaxed", "lattice": [[3.092, 0.000, 0.000], [0.000, 3.092, 0.000], [0.000, 0.000, 7.892]], "species": ["Li", "B", "S", "N", "N"], "fractional_positions": [[0.000, 0.000, 0.000], [0.500, 0.500, 0.500], [0.500, 0.500, 0.000], [0.000, 0.500, 0.500], [0.500, 0.000, 0.500]], "sg": "P4/mmm (123)", "relative_energy_ev_per_atom": 0.000, "e_tot_ry_per_atom": -0.378, "magmom_total_mub_per_fu": 0.26, "raw_formation_energy_mev_per_atom": 736}

***

# 11
{"formula": "NdCdGa", "functional": "PBE-GGA", "state": "relaxed", "lattice": [[4.706, 0.000, 0.000], [0.000, 3.754, 0.000], [0.000, 0.000, 8.313]], "species": ["Nd", "Nd", "Cd", "Cd", "Ga", "Ga"], "fractional_positions": [[0.250, 0.000, 0.224], [0.750, 0.000, 0.776], [0.250, 0.500, 0.587], [0.750, 0.500, 0.413], [0.250, 0.500, 0.916], [0.750, 0.500, 0.084]], "sg": "Pmma (51)", "e_tot_ry_per_atom": -0.248, "formation_enthalpy_0k_kj_per_mol_atoms": -45.88, "magmom_total_mub_per_fu": 0.00}

***

# 12
{"formula": "ZrFeMo", "functional": "PBE-GGA", "state": "relaxed", "lattice": [[0.000, 2.993, 2.993], [2.993, 0.000, 2.993], [2.993, 2.993, 0.000]], "species": ["Zr", "Fe", "Mo"], "fractional_positions": [[0.000, 0.000, 0.000], [0.750, 0.750, 0.750], [0.500, 0.500, 0.500]], "sg": "F-43m (216)", "relative_energy_ev_per_atom": 0.478, "e_tot_ry_per_atom": -0.657, "formation_enthalpy_0k_kj_per_mol_atoms": 32.49, "magmom_total_mub_per_fu": 0.00}

***

Repeat the ninth record exactly.
{"formula": "CrHgMo2", "functional": "PBE-GGA", "state": "relaxed", "lattice": [[2.858, 0.000, 0.000], [0.000, 4.016, 0.000], [-0.747, 0.000, 5.665]], "species": ["Cr", "Hg", "Mo", "Mo"], "fractional_positions": [[0.000, 0.000, 0.000], [0.000, 0.000, 0.500], [0.411, 0.500, 0.206], [0.589, 0.500, 0.794]], "sg": "P2/m (10)", "e_tot_ry_per_atom": -0.548, "formation_enthalpy_0k_kj_per_mol_atoms": 41.96, "magmom_total_mub_per_fu": 0.00}